# Li2CrBr | the Alexandria database | GGA-PBE | optimized geometry
data_Li2CrBr
_space_group_name_H-M_alt 'P 1'
_space_group_IT_number 1
_cell_length_a 4.898
_cell_length_b 4.898
_cell_length_c 4.898
_cell_angle_alpha 60.00
_cell_angle_beta 60.00
_cell_angle_gamma 60.00
loop_
_space_group_symop_operation_xyz
'x,y,z'
loop_
_atom_site_label
_atom_site_type_symbol
_atom_site_fract_x
_atom_site_fract_y
_atom_site_fract_z
Br1 Br 0.500 0.500 0.500
Cr1 Cr 0.750 0.750 0.750
Li1 Li 0.000 0.000 0.000
Li2 Li 0.250 0.250 0.250
# DFT total energy   -14.32 eV for the cell shown
# Distance to the lowest polymorph of the same formula   334 meV/atom
# N(E_F)   0.199 states/eV/atom
# Calculated density   2.9 g/cm³
# E_form (uncorrected)   0.81 eV/f.u.
# Spin magnetization   1.24 μB/atom